# 1
The following is a DFT calculation (PBE) of an optimized crystal structure of Li5Ac2Tl3.

```
Li5Ac2Tl3
1.0
-5.183 6.876 3.550
5.183 -6.876 3.550
5.183 6.876 -3.550
Li Ac Tl
10 4 6
Direct
0.016 0.750 0.266 Li
0.122 0.625 0.747 Li
0.250 0.250 0.000 Li
0.378 0.125 0.503 Li
0.484 0.750 0.734 Li
0.516 0.250 0.266 Li
0.622 0.875 0.497 Li
0.750 0.750 0.000 Li
0.878 0.375 0.253 Li
0.984 0.250 0.734 Li
0.115 0.242 0.357 Ac
0.385 0.742 0.127 Ac
0.615 0.258 0.873 Ac
0.885 0.758 0.643 Ac
0.140 0.883 0.023 Tl
0.250 0.750 0.500 Tl
0.360 0.383 0.742 Tl
0.640 0.617 0.258 Tl
0.750 0.250 0.500 Tl
0.860 0.117 0.977 Tl
```

Results
DFT formation energy = -0.216 eV per atom
E = -2.704 eV per atom
Symmetry = Ibam, No. 72

# 2
The following is a DFT calculation (PBE) of an optimized crystal structure of LiAcTl.

```
LiAcTl
1.0
0.000 3.593 3.593
3.593 0.000 3.593
3.593 3.593 0.000
Li Ac Tl
1 1 1
Direct
0.000 0.000 0.000 Li
0.250 0.250 0.250 Ac
0.750 0.750 0.750 Tl
```

Results
DFT formation energy = -0.078 eV per atom
E = -2.875 eV per atom
Symmetry = F-43m, No. 216

# 3
The following is a DFT calculation (PBE) of an optimized crystal structure of Li3AcTl.

```
Li3AcTl
1.0
8.850 0.000 0.000
0.000 4.888 0.000
0.000 0.000 12.126
Li Ac Tl
12 4 4
Direct
0.056 0.250 0.103 Li
0.105 0.750 0.277 Li
0.142 0.750 0.729 Li
0.358 0.250 0.229 Li
0.395 0.250 0.777 Li
0.444 0.750 0.603 Li
0.556 0.250 0.397 Li
0.605 0.750 0.223 Li
0.642 0.750 0.771 Li
0.858 0.250 0.271 Li
0.895 0.250 0.723 Li
0.944 0.750 0.897 Li
0.186 0.250 0.509 Ac
0.314 0.750 0.009 Ac
0.686 0.250 0.991 Ac
0.814 0.750 0.491 Ac
0.118 0.250 0.874 Tl
0.382 0.750 0.374 Tl
0.618 0.250 0.626 Tl
0.882 0.750 0.126 Tl
```

Results
DFT formation energy = -0.098 eV per atom
E = -2.542 eV per atom
Symmetry = Pnma, No. 62

# 4
The following is a DFT calculation (PBE) of an optimized crystal structure of Li2AcTl.

```
Li2AcTl
1.0
0.000 3.669 3.669
3.669 0.000 3.669
3.669 3.669 0.000
Li Ac Tl
2 1 1
Direct
0.250 0.250 0.250 Li
0.750 0.750 0.750 Li
0.000 0.000 0.000 Ac
0.500 0.500 0.500 Tl
```

Results
DFT formation energy = -0.201 eV per atom
E = -2.776 eV per atom
Symmetry = Fm-3m, No. 225